Entry 1:
A plane-wave DFT calculation with PBE-GGA was carried out for crystalline HoTm2Ga3CuAg2 at its relaxed geometry.

a b c (Å): 3.7285 7.4578 7.4578
angles (deg): 120.15 90.00 90.00
Last column: nearest neighbours and their distance in Å.
Element x y z (fractional)
1 Ho 0.0000 0.0000 0.0000  1 Cu 2.96, 4 Ag 2.96, 6 Ga 3.19-3.24
2 Tm 0.0000 0.3961 0.7906  1 Cu 2.94, 4 Ag 2.95, 6 Ga 3.17-3.25
3 Tm 0.0000 0.7906 0.3961  1 Cu 2.94, 4 Ag 2.95, 6 Ga 3.17-3.25
4 Ga 0.5000 0.1483 0.3967  2 Cu 2.63, 2 Ag 2.84-2.86
5 Ga 0.5000 0.3967 0.1483  2 Cu 2.63, 2 Ag 2.84-2.86
6 Ga 0.5000 0.6442 0.6442  2 Cu 2.62, 2 Ag 2.87
7 Cu 0.0000 0.3971 0.3971  6 Ga 2.62-2.63
8 Ag 0.5000 0.0637 0.7280  3 Ga 2.84-2.87, 4 Tm 2.95, 2 Ho 2.96
9 Ag 0.5000 0.7280 0.0637  3 Ga 2.84-2.87, 4 Tm 2.95, 2 Ho 2.96

Output
Total moment ... 0.000 μB per atom
Crystal system ... orthorhombic
E ... -36.1 eV/cell

***

Entry 2:
A plane-wave DFT calculation with PBE-GGA was carried out for crystalline PmPt2 at its relaxed geometry.

a b c (Å): 4.6722 4.6722 4.6722
angles (deg): 60.00 60.00 60.00
Last column: nearest neighbours and their distance in Å.
Element x y z (fractional)
1 Pm 0.0000 0.0000 0.0000  8 Pt 2.86
2 Pt 0.2500 0.2500 0.2500  4 Pm 2.86
3 Pt 0.7500 0.7500 0.7500  4 Pm 2.86

Output
Total moment ... 0.000 μB per atom
Crystal system ... cubic
Offset from the most stable computed form ... 64.8 kJ per mole of atoms
E ... -18.0 eV/cell

***

Entry 3:
A plane-wave DFT calculation with PBE-GGA was carried out for crystalline NiPtCl6 at its relaxed geometry.

a b c (Å): 6.3857 6.3857 6.3857
angles (deg): 54.89 54.89 54.89
Last column: nearest neighbours and their distance in Å.
Element x y z (fractional)
1 Ni 0.0000 0.0000 0.0000  6 Cl 2.38
2 Pt 0.5000 0.5000 0.5000  6 Cl 2.37
3 Cl 0.0876 0.7466 0.4145  1 Pt 2.37, 1 Ni 2.38
4 Cl 0.2534 0.5855 0.9124  1 Pt 2.37, 1 Ni 2.38
5 Cl 0.4145 0.0876 0.7466  1 Pt 2.37, 1 Ni 2.38
6 Cl 0.5855 0.9124 0.2534  1 Pt 2.37, 1 Ni 2.38
7 Cl 0.7466 0.4145 0.0876  1 Pt 2.37, 1 Ni 2.38
8 Cl 0.9124 0.2534 0.5855  1 Pt 2.37, 1 Ni 2.38

Output
Total moment ... 0.251 μB per atom
Crystal system ... trigonal
E ... -25.8 eV/cell

***

Entry 4:
A plane-wave DFT calculation with PBE-GGA was carried out for crystalline Cd3As2 at its relaxed geometry.

a b c (Å): 9.0568 9.0568 12.7632
angles (deg): 90.00 90.00 90.00
Last column: nearest neighbours and their distance in Å.
Element x y z (fractional)
1 Cd 0.0048 0.7500 0.1050  4 As 2.62-2.89
2 Cd 0.0316 0.7500 0.6432  3 As 2.66-2.70
3 Cd 0.0335 0.2500 0.6324  3 As 2.65-2.70
4 Cd 0.2500 0.0335 0.1324  3 As 2.65-2.70
5 Cd 0.2500 0.4665 0.1324  3 As 2.65-2.70
6 Cd 0.2500 0.5048 0.3950  4 As 2.62-2.89
7 Cd 0.2500 0.5316 0.8568  3 As 2.66-2.70
8 Cd 0.2500 0.9684 0.8568  3 As 2.66-2.70
9 Cd 0.2500 0.9952 0.3950  4 As 2.62-2.89
10 Cd 0.4665 0.2500 0.6324  3 As 2.65-2.70
11 Cd 0.4684 0.7500 0.6432  3 As 2.66-2.70
12 Cd 0.4952 0.7500 0.1050  4 As 2.62-2.89
13 Cd 0.5048 0.2500 0.8950  4 As 2.62-2.89
14 Cd 0.5316 0.2500 0.3568  3 As 2.66-2.70
15 Cd 0.5335 0.7500 0.3676  3 As 2.65-2.70
16 Cd 0.7500 0.0048 0.6050  4 As 2.62-2.89
17 Cd 0.7500 0.0316 0.1432  3 As 2.66-2.70
18 Cd 0.7500 0.4684 0.1432  3 As 2.66-2.70
19 Cd 0.7500 0.4952 0.6050  4 As 2.62-2.89
20 Cd 0.7500 0.5335 0.8676  3 As 2.65-2.70
21 Cd 0.7500 0.9665 0.8676  3 As 2.65-2.70
22 Cd 0.9665 0.7500 0.3676  3 As 2.65-2.70
23 Cd 0.9684 0.2500 0.3568  3 As 2.66-2.70
24 Cd 0.9952 0.2500 0.8950  4 As 2.62-2.89
25 As 0.0045 0.5045 0.2500  6 Cd 2.70-2.89
26 As 0.0045 0.9955 0.2500  6 Cd 2.70-2.89
27 As 0.2500 0.2500 0.4922  4 Cd 2.62-2.65
28 As 0.2500 0.2500 0.9922  4 Cd 2.62-2.65
29 As 0.2500 0.7500 0.5035  4 Cd 2.62-2.66
30 As 0.2500 0.7500 0.9965  4 Cd 2.62-2.66
31 As 0.4955 0.5045 0.2500  6 Cd 2.70-2.89
32 As 0.4955 0.9955 0.2500  6 Cd 2.70-2.89
33 As 0.5045 0.0045 0.7500  6 Cd 2.70-2.89
34 As 0.5045 0.4955 0.7500  6 Cd 2.70-2.89
35 As 0.7500 0.2500 0.0035  4 Cd 2.62-2.66
36 As 0.7500 0.2500 0.4965  4 Cd 2.62-2.66
37 As 0.7500 0.7500 0.0078  4 Cd 2.62-2.65
38 As 0.7500 0.7500 0.5078  4 Cd 2.62-2.65
39 As 0.9955 0.0045 0.7500  6 Cd 2.70-2.89
40 As 0.9955 0.4955 0.7500  6 Cd 2.70-2.89

Output
Crystal system ... tetragonal
E ... -100.2 eV/cell

***

Entry 5:
A plane-wave DFT calculation with PBE-GGA was carried out for crystalline CdIrNO at its relaxed geometry.

a b c (Å): 5.2036 7.9561 5.0229
angles (deg): 90.00 90.00 90.00
Last column: nearest neighbours and their distance in Å.
Element x y z (fractional)
1 Cd 0.0347 0.1193 0.0000  1 N 2.16, 3 O 2.26-2.28
2 Cd 0.4653 0.1193 0.5000  1 N 2.16, 3 O 2.26-2.28
3 Cd 0.5347 0.8807 0.0000  1 N 2.16, 3 O 2.26-2.28
4 Cd 0.9653 0.8807 0.5000  1 N 2.16, 3 O 2.26-2.28
5 Ir 0.0338 0.5689 0.0091  3 N 1.93-2.03
6 Ir 0.4662 0.5689 0.5091  3 N 1.93-2.03
7 Ir 0.5338 0.4311 0.0091  3 N 1.93-2.03
8 Ir 0.9662 0.4311 0.5091  3 N 1.93-2.03
9 N 0.1113 0.6404 0.6331  3 Ir 1.93-2.03, 1 Cd 2.16
10 N 0.3887 0.6404 0.1331  3 Ir 1.93-2.03, 1 Cd 2.16
11 N 0.6113 0.3596 0.6331  3 Ir 1.93-2.03, 1 Cd 2.16
12 N 0.8887 0.3596 0.1331  3 Ir 1.93-2.03, 1 Cd 2.16
13 O 0.0353 0.1590 0.5527  1 Ir 2.21, 3 Cd 2.26-2.28
14 O 0.4647 0.1590 0.0527  1 Ir 2.21, 3 Cd 2.26-2.28
15 O 0.5353 0.8410 0.5527  1 Ir 2.21, 3 Cd 2.26-2.28
16 O 0.9647 0.8410 0.0527  1 Ir 2.21, 3 Cd 2.26-2.28

Output
Total moment ... 0.001 μB per atom
Crystal system ... orthorhombic
Offset from the most stable computed form ... 0.0 kJ per mole of atoms
E ... -92.9 eV/cell

***

Entry 6:
A plane-wave DFT calculation with PBE-GGA was carried out for crystalline LuCuSnSe3 at its relaxed geometry.

a b c (Å): 11.3864 4.1441 11.6559
angles (deg): 90.00 90.00 90.00
Last column: nearest neighbours and their distance in Å.
Element x y z (fractional)
1 Lu 0.0176 0.2500 0.1839  6 Se 2.82-3.02
2 Lu 0.4824 0.7500 0.6839  6 Se 2.82-3.02
3 Lu 0.5176 0.2500 0.3161  6 Se 2.82-3.02
4 Lu 0.9824 0.7500 0.8161  6 Se 2.82-3.02
5 Cu 0.2418 0.7500 0.3022  4 Se 2.42-2.50
6 Cu 0.2582 0.2500 0.8022  4 Se 2.42-2.50
7 Cu 0.7418 0.7500 0.1978  4 Se 2.42-2.50
8 Cu 0.7582 0.2500 0.6978  4 Se 2.42-2.50
9 Sn 0.1819 0.2500 0.4992  7 Se 2.99-3.35, 2 Cu 3.17
10 Sn 0.3181 0.7500 0.9992  7 Se 2.99-3.35, 2 Cu 3.17
11 Sn 0.6819 0.2500 0.0008  7 Se 2.99-3.35, 2 Cu 3.17
12 Sn 0.8181 0.7500 0.5008  7 Se 2.99-3.35, 2 Cu 3.17
13 Se 0.0356 0.7500 0.3568  1 Cu 2.43
14 Se 0.0960 0.2500 0.9364  1 Cu 2.42
15 Se 0.2282 0.7500 0.6863  2 Cu 2.50
16 Se 0.2718 0.2500 0.1863  2 Cu 2.50
17 Se 0.4040 0.7500 0.4364  1 Cu 2.42
18 Se 0.4644 0.2500 0.8568  1 Cu 2.43
19 Se 0.5356 0.7500 0.1432  1 Cu 2.43
20 Se 0.5960 0.2500 0.5636  1 Cu 2.42
21 Se 0.7282 0.7500 0.8137  2 Cu 2.50
22 Se 0.7718 0.2500 0.3137  2 Cu 2.50
23 Se 0.9040 0.7500 0.0636  1 Cu 2.42
24 Se 0.9644 0.2500 0.6432  1 Cu 2.43

Output
Total moment ... 0.000 μB per atom
Crystal system ... orthorhombic
Offset from the most stable computed form ... 5.5 kJ per mole of atoms
E ... -111.8 eV/cell

***

Entry 7:
A plane-wave DFT calculation with PBE-GGA was carried out for crystalline NaInBiIr at its relaxed geometry.

a b c (Å): 5.0046 5.0046 5.0046
angles (deg): 60.00 60.00 60.00
Last column: nearest neighbours and their distance in Å.
Element x y z (fractional)
1 Na 0.0000 0.0000 0.0000  4 In 3.06, 4 Ir 3.06
2 In 0.7500 0.7500 0.7500  4 Bi 3.06, 4 Na 3.06
3 Bi 0.5000 0.5000 0.5000  4 In 3.06, 4 Ir 3.06
4 Ir 0.2500 0.2500 0.2500  4 Bi 3.06, 4 Na 3.06

Output
Total moment ... 0.001 μB per atom
Crystal system ... cubic
Offset from the most stable computed form ... 29.6 kJ per mole of atoms
E ... -15.6 eV/cell

***

Entry 8:
A plane-wave DFT calculation with PBE-GGA was carried out for crystalline Ho2TmZn3InGa2 at its relaxed geometry.

a b c (Å): 4.3720 6.9894 6.9894
angles (deg): 119.87 90.00 90.00
Last column: nearest neighbours and their distance in Å.
Element x y z (fractional)
1 Ho 0.0000 0.2216 0.7784  4 Ga 3.00-3.01, 2 Zn 3.04, 1 In 3.10
2 Ho 0.0000 0.7784 0.2216  4 Ga 3.00-3.01, 2 Zn 3.04, 1 In 3.10
3 Tm 0.0000 0.3342 0.3342  4 Ga 2.99, 2 Zn 3.04, 1 In 3.10
4 Zn 0.5000 0.0325 0.0325  2 Ga 2.64, 2 In 2.83
5 Zn 0.5000 0.5236 0.7779  2 Ga 2.65-2.66, 2 In 2.81
6 Zn 0.5000 0.7779 0.5236  2 Ga 2.65-2.66, 2 In 2.81
7 In 0.0000 0.7764 0.7764  6 Zn 2.81-2.83, 1 Tm 3.10, 2 Ho 3.10
8 Ga 0.5000 0.1123 0.4440  3 Zn 2.64-2.66
9 Ga 0.5000 0.4440 0.1123  3 Zn 2.64-2.66

Output
Total moment ... 0.000 μB per atom
Crystal system ... orthorhombic
E ... -30.8 eV/cell

***

Entry 9:
A plane-wave DFT calculation with PBE-GGA was carried out for crystalline SmNi4As2 at its relaxed geometry.

a b c (Å): 7.2961 7.2961 3.7952
angles (deg): 90.00 90.00 90.00
Last column: nearest neighbours and their distance in Å.
Element x y z (fractional)
1 Sm 0.0000 0.0000 0.0000  6 As 2.91-2.95, 12 Ni 3.20-3.23
2 Sm 0.5000 0.5000 0.5000  6 As 2.91-2.95, 12 Ni 3.20-3.23
3 Ni 0.0886 0.3471 0.5000  3 As 2.41-2.43, 6 Ni 2.58-2.67
4 Ni 0.1529 0.5886 0.0000  3 As 2.41-2.43, 6 Ni 2.58-2.67
5 Ni 0.3471 0.0886 0.5000  3 As 2.41-2.43, 6 Ni 2.58-2.67
6 Ni 0.4114 0.8471 0.0000  3 As 2.41-2.43, 6 Ni 2.58-2.67
7 Ni 0.5886 0.1529 0.0000  3 As 2.41-2.43, 6 Ni 2.58-2.67
8 Ni 0.6529 0.9114 0.5000  3 As 2.41-2.43, 6 Ni 2.58-2.67
9 Ni 0.8471 0.4114 0.0000  3 As 2.41-2.43, 6 Ni 2.58-2.67
10 Ni 0.9114 0.6529 0.5000  3 As 2.41-2.43, 6 Ni 2.58-2.67
11 As 0.2183 0.7817 0.5000  6 Ni 2.41-2.43
12 As 0.2817 0.2817 0.0000  6 Ni 2.41-2.43
13 As 0.7183 0.7183 0.0000  6 Ni 2.41-2.43
14 As 0.7817 0.2183 0.5000  6 Ni 2.41-2.43

Output
Total moment ... 0.000 μB per atom
Crystal system ... tetragonal
E ... -81.3 eV/cell

***

Entry 10:
A plane-wave DFT calculation with PBE-GGA was carried out for crystalline ErLuTh at its relaxed geometry.

a b c (Å): 5.4343 5.4343 5.4343
angles (deg): 60.00 60.00 60.00
Last column: nearest neighbours and their distance in Å.
Element x y z (fractional)
1 Er 0.0000 0.0000 0.0000  4 Th 3.33
2 Lu 0.5000 0.5000 0.5000  4 Th 3.33
3 Th 0.2500 0.2500 0.2500  4 Er 3.33, 4 Lu 3.33

Output
Total moment ... 0.297 μB per atom
Crystal system ... cubic
Offset from the most stable computed form ... 0.0 kJ per mole of atoms
E ... -13.8 eV/cell